1.
Density functional theory data (PBE) for a relaxed ErBeB crystal.

POSCAR file:
```
ErBeB
1.0
3.860 0.000 0.000
0.000 3.521 0.000
0.000 -1.760 3.049
Be Er B
1 1 1
direct
0.167 0.667 0.333
0.667 0.333 0.667
0.167 0.000 0.000
```

Calculated values
Its space-group type is No. 187. For the density of states at the Fermi level, the calculation gives 0.801 states/eV per atom. For the energy above the most stable polymorph in this dataset, the calculation gives 0 meV/atom.

***

2.
Density functional theory data (PBE) for a relaxed ErBe2B6 crystal.

POSCAR file:
```
ErBe2B6
1.0
3.058 0.000 0.000
0.000 6.267 0.000
-1.529 -3.133 4.015
B Er Be
6 1 2
direct
0.301 0.559 0.602
0.500 0.860 0.000
0.699 0.441 0.398
0.500 0.140 0.000
0.301 0.043 0.602
0.699 0.957 0.398
0.000 0.500 0.000
0.148 0.148 0.297
0.852 0.852 0.703
```

Calculated values
Its total energy is -5.9989 eV per atom. Its space-group type is No. 71. For the density of states at the Fermi level, the calculation gives 0.151 states/eV per atom.

***

3.
Density functional theory data (PBE) for a relaxed Er3Be2B9 crystal.

POSCAR file:
```
Er3Be2B9
1.0
-1.786 -2.399 -1.023
1.185 -4.964 4.687
-5.555 0.292 4.132
B Be Er
9 2 3
direct
0.338 0.346 0.978
0.662 0.654 0.022
0.662 0.022 0.654
0.145 0.119 0.592
0.145 0.592 0.119
0.338 0.978 0.346
0.855 0.881 0.408
0.855 0.408 0.881
0.000 0.500 0.500
0.500 0.293 0.707
0.500 0.707 0.293
0.000 0.000 0.000
0.303 0.697 0.697
0.697 0.303 0.303
```

Calculated values
Its total energy is -5.8773 eV per atom. Its space-group type is No. 71. For the density of states at the Fermi level, the calculation gives 0.214 states/eV per atom.

***

4.
Density functional theory data (PBE) for a relaxed Er2BeB10 crystal.

POSCAR file:
```
Er2BeB10
1.0
-3.411 1.927 -1.239
-2.984 -3.012 3.531
1.476 7.559 7.695
B Be Er
20 2 4
direct
0.300 0.805 0.889
0.300 0.305 0.611
0.700 0.305 0.611
0.000 0.978 0.816
0.300 0.695 0.389
0.000 0.128 0.540
0.000 0.522 0.316
0.000 0.333 0.198
0.000 0.372 0.040
0.000 0.872 0.460
0.000 0.022 0.184
0.300 0.195 0.111
0.700 0.805 0.889
0.700 0.195 0.111
0.000 0.833 0.302
0.700 0.695 0.389
0.000 0.167 0.698
0.000 0.628 0.960
0.000 0.667 0.802
0.000 0.478 0.684
0.000 0.500 0.500
0.000 0.000 0.000
0.500 0.695 0.134
0.500 0.305 0.866
0.500 0.195 0.366
0.500 0.805 0.634
```

Calculated values
Its total energy is -6.5644 eV per atom. Its space-group type is No. 55. For the density of states at the Fermi level, the calculation gives 0.131 states/eV per atom.

***

5.
Density functional theory data (PBE) for a relaxed ErBe4B4 crystal.

POSCAR file:
```
ErBe4B4
1.0
-3.313 2.150 -2.824
0.553 -3.504 -3.316
-4.886 -3.602 2.990
Be B Er
8 8 2
direct
0.729 0.500 0.871
0.000 0.771 0.371
0.229 0.000 0.629
0.500 0.271 0.129
0.271 0.500 0.871
0.000 0.229 0.371
0.771 0.000 0.629
0.500 0.729 0.129
0.833 0.500 0.172
0.000 0.333 0.672
0.500 0.167 0.828
0.000 0.667 0.672
0.333 0.000 0.328
0.667 0.000 0.328
0.500 0.833 0.828
0.167 0.500 0.172
0.000 0.000 0.000
0.500 0.500 0.500
```

Calculated values
Its total energy is -5.2803 eV per atom. Its space-group type is No. 137. For the density of states at the Fermi level, the calculation gives 0.282 states/eV per atom.

***

6.
Density functional theory data (PBE) for a relaxed ErBe2BIr crystal.

POSCAR file:
```
ErBe2BIr
1.0
3.543 0.000 0.000
0.000 3.645 0.000
-1.771 -1.823 4.915
Be Er B Ir
2 1 1 1
direct
0.702 0.202 0.404
0.055 0.055 0.111
0.436 0.436 0.871
0.823 0.823 0.646
0.196 0.696 0.393
```

Calculated values
Its total energy is -5.9513 eV per atom. Its space-group type is No. 44. For the density of states at the Fermi level, the calculation gives 0.476 states/eV per atom.

***

7.
Density functional theory data (PBE) for a relaxed Er2BeB2Ir5 crystal.

POSCAR file:
```
Er2BeB2Ir5
1.0
-2.800 0.841 0.908
-2.573 -9.122 0.518
2.848 -0.290 9.050
Ir Er Be B
10 4 2 4
direct
0.500 0.934 0.212
0.500 0.566 0.712
0.500 0.000 0.500
0.500 0.288 0.566
0.500 0.066 0.788
0.500 0.788 0.934
0.500 0.212 0.066
0.500 0.500 0.000
0.500 0.434 0.288
0.500 0.712 0.434
0.000 0.177 0.323
0.000 0.323 0.823
0.000 0.677 0.177
0.000 0.823 0.677
0.000 0.000 0.000
0.000 0.500 0.500
0.000 0.375 0.125
0.000 0.875 0.375
0.000 0.125 0.625
0.000 0.625 0.875
```

Calculated values
Its total energy is -7.7585 eV per atom. Its space-group type is No. 127. For the density of states at the Fermi level, the calculation gives 0.350 states/eV per atom.

***

8.
Density functional theory data (PBE) for a relaxed ErBeNi6B crystal.

POSCAR file:
```
ErBeNi6B
1.0
5.345 0.000 0.000
0.000 8.209 0.000
-2.672 -4.104 5.053
Ni Be Er B
12 2 2 2
direct
0.621 0.890 0.740
0.530 0.280 0.060
0.379 0.651 0.260
0.470 0.720 0.940
0.621 0.349 0.740
0.921 0.171 0.843
0.119 0.890 0.740
0.119 0.349 0.740
0.379 0.110 0.260
0.079 0.829 0.157
0.881 0.651 0.260
0.881 0.110 0.260
0.000 0.000 0.500
0.500 0.000 0.500
0.180 0.430 0.360
0.820 0.570 0.640
0.500 0.500 0.000
0.500 0.000 0.000
```

Calculated values
Its total energy is -5.5759 eV per atom. Its space-group type is No. 74. For the density of states at the Fermi level, the calculation gives 0.673 states/eV per atom.